# MnZn6Pt2 (PBE, relaxed)
data_MnZn6Pt2
_chemical_formula_sum 'Mn1 Zn6 Pt2'
_cell_length_a 3.852
_cell_length_b 6.120
_cell_length_c 6.250
_cell_angle_alpha 108.60
_cell_angle_beta 107.95
_cell_angle_gamma 90.00
_space_group_name_H-M_alt 'P 1'
_space_group_IT_number 1
_space_group_name_Hall 'P 1'
loop_
_atom_site_label
_atom_site_type_symbol
_atom_site_fract_x
_atom_site_fract_y
_atom_site_fract_z
Mn1 Mn 0.500 0.500 0.000
Zn1 Zn 0.395 0.835 0.791
Zn2 Zn 0.605 0.165 0.209
Zn3 Zn 0.722 0.836 0.443
Zn4 Zn 0.165 0.497 0.330
Zn5 Zn 0.278 0.164 0.557
Zn6 Zn 0.835 0.503 0.670
Pt1 Pt 0.938 0.170 0.877
Pt2 Pt 0.062 0.830 0.123
# Magnetization in μB per formula unit: 4.2
# V in Å³/cell: 132
# Formation enthalpy at 0 K in meV/atom: -279
# SG: C2/m (12)



# MnZn8Pt2 (PBE, relaxed)
data_MnZn8Pt2
_chemical_formula_sum 'Mn1 Zn8 Pt2'
_cell_length_a 4.306
_cell_length_b 7.180
_cell_length_c 6.769
_cell_angle_alpha 122.03
_cell_angle_beta 108.54
_cell_angle_gamma 90.00
_space_group_name_H-M_alt 'P 1'
_space_group_IT_number 1
_space_group_name_Hall 'P 1'
loop_
_atom_site_label
_atom_site_type_symbol
_atom_site_fract_x
_atom_site_fract_y
_atom_site_fract_z
Mn1 Mn 0.500 0.000 0.000
Zn1 Zn 0.642 0.837 0.285
Zn2 Zn 0.358 0.552 0.715
Zn3 Zn 0.138 0.138 0.276
Zn4 Zn 0.000 0.316 0.000
Zn5 Zn 0.862 0.862 0.724
Zn6 Zn 0.642 0.448 0.285
Zn7 Zn 0.358 0.163 0.715
Zn8 Zn 0.000 0.684 0.000
Pt1 Pt 0.221 0.721 0.442
Pt2 Pt 0.779 0.279 0.558
# Magnetization in μB per formula unit: 3.1
# V in Å³/cell: 164
# Formation enthalpy at 0 K in meV/atom: -251
# SG: Immm (71)



# MnZn4Pt (PBE, relaxed)
data_MnZn4Pt
_chemical_formula_sum 'Mn1 Zn4 Pt1'
_cell_length_a 4.969
_cell_length_b 4.969
_cell_length_c 4.969
_cell_angle_alpha 60.00
_cell_angle_beta 60.00
_cell_angle_gamma 60.00
_space_group_name_H-M_alt 'P 1'
_space_group_IT_number 1
_space_group_name_Hall 'P 1'
loop_
_atom_site_label
_atom_site_type_symbol
_atom_site_fract_x
_atom_site_fract_y
_atom_site_fract_z
Mn1 Mn 0.750 0.750 0.750
Zn1 Zn 0.875 0.375 0.375
Zn2 Zn 0.375 0.375 0.875
Zn3 Zn 0.375 0.875 0.375
Zn4 Zn 0.375 0.375 0.375
Pt1 Pt 0.000 0.000 0.000
# Magnetization in μB per formula unit: 4.8
# V in Å³/cell: 87
# Formation enthalpy at 0 K in meV/atom: -130
# SG: F-43m (216)
# E above lowest polymorph in eV per atom: 0.0760